[1]
# CdNi

CdNi after structural relaxation (PBE, Alexandria).

formation energy	0.19	eV/atom

Lattice parameters (Å, degrees): 2.913 4.605 4.665 90.00 90.00 90.00
Sites, in units of the cell vectors:
Ni 0.500 0.000 0.502
Ni 0.000 0.500 0.332
Cd 0.000 0.000 0.028
Cd 0.500 0.500 0.806

***

[2]
# NaZrNb2Bi

NaZrNb2Bi after structural relaxation (PBE, Alexandria).

formation energy	1.60	eV/atom

Lattice parameters (Å, degrees): 4.793 5.028 4.793 90.00 90.00 90.00
Sites, in units of the cell vectors:
Nb 0.500 0.000 0.000
Nb 0.000 0.000 0.500
Bi 0.000 0.500 0.000
Na 0.000 0.000 0.000
Zr 0.500 0.500 0.500

***

[3]
# Ti2NiS3

Ti2NiS3 after structural relaxation (PBE, Alexandria).

formation energy (no corrections)	-95.72	kJ per mole of atoms

Lattice parameters (Å, degrees): 5.891 5.891 6.897 64.72 64.72 60.00
Each line ends with the local moment (μB).
Sites, in units of the cell vectors:
Ni 0.500 0.500 0.500  0.17
Ni 0.000 0.000 0.000  0.17
S 0.588 0.250 0.250  -0.02
S 0.250 0.912 0.250  -0.02
S 0.412 0.750 0.750  -0.02
S 0.912 0.588 0.250  -0.02
S 0.750 0.088 0.750  -0.02
S 0.088 0.412 0.750  -0.02
Ti 0.166 0.166 0.501  0.67
Ti 0.666 0.666 0.001  0.67
Ti 0.334 0.334 0.999  0.67
Ti 0.834 0.834 0.499  0.67

***

[4]
# Ta2TcSbTe

Ta2TcSbTe after structural relaxation (PBE, Alexandria).

formation energy (no corrections)	214.10	kJ per mole of atoms

Lattice parameters (Å, degrees): 5.003 5.570 5.003 90.00 90.00 90.00
Each line ends with the local moment (μB).
Sites, in units of the cell vectors:
Ta 0.000 0.000 0.500  -0.23
Ta 0.500 0.000 0.000  -0.32
Sb 0.000 0.500 0.000  -0.01
Tc 0.500 0.500 0.500  2.96
Te 0.000 0.000 0.000  0.01

***

Q: What is the formula in the third record?
A: Ti2NiS3

***

Q: Which formula does entry 3 have?
A: Ti2NiS3